[1]
FeCuSiSe | PBE | optimized geometry

Results
E above lowest polymorph in kJ/mol of formula units: 90

Cell: 4.5670 3.5486 7.9239 Å, 90.00 90.00 90.00°
Space group Amm2 (No. 38)
Inequivalent atoms, fractional coordinates:
Fe 0.0000 0.0000 0.0000 x2
Cu 0.5000 0.0000 0.1765 x2
Si 0.0000 0.0000 0.2980 x2
Se 0.5000 0.0000 0.8860 x2


[2]
FeCuSiSe | PBE | optimized geometry

Results
E above lowest polymorph in kJ/mol of formula units: 47

Cell: 3.1131 2.8189 13.6704 Å, 90.00 90.00 90.00°
Space group Amm2 (No. 38)
Inequivalent atoms, fractional coordinates:
Fe 0.0000 0.0000 0.0000 x2
Cu 0.5000 0.0000 0.7719 x2
Si 0.0000 0.0000 0.3600 x2
Se 0.5000 0.0000 0.5851 x2


[3]
FeCu2SiSe4 | PBE | optimized geometry

Cell: 5.5797 5.5797 11.0389 Å, 90.00 90.00 90.00°
Space group I-42m (No. 121)
Inequivalent atoms, fractional coordinates:
Fe 0.0000 0.0000 0.0000 x2
Cu 0.0000 0.5000 0.2500 x4
Si 0.0000 0.0000 0.5000 x2
Se 0.2422 0.2422 0.3764 x8


[4]
FeCuSiSe | PBE | optimized geometry

Results
E above lowest polymorph in kJ/mol of formula units: 0

Cell: 2.7367 3.6704 11.5880 Å, 90.00 90.00 90.00°
Space group Amm2 (No. 38)
Inequivalent atoms, fractional coordinates:
Fe 0.0000 0.0000 0.0000 x2
Cu 0.5000 0.0000 0.8062 x2
Si 0.5000 0.0000 0.4508 x2
Se 0.5000 0.0000 0.1671 x2


[5]
FeCuSiSe | PBE | optimized geometry

Results
E above lowest polymorph in kJ/mol of formula units: 37

Cell: 3.1303 3.1303 21.4104 Å, 90.00 90.00 120.00°
Space group R3m (No. 160, hexagonal axes)
Inequivalent atoms, fractional coordinates:
Fe 0.0000 0.0000 0.0000 x3
Cu 0.0000 0.0000 0.8531 x3
Si 0.0000 0.0000 0.5938 x3
Se 0.0000 0.0000 0.7371 x3


[6]
Fe2CuSnSe | PBE | optimized geometry

Cell: 4.5844 4.5844 4.7789 Å, 90.00 90.00 90.00°
Space group P4/mmm (No. 123)
Inequivalent atoms, fractional coordinates:
Fe 0.0000 0.5000 0.0000 x2
Cu 0.0000 0.0000 0.0000 x1
Sn 0.0000 0.0000 0.5000 x1
Se 0.5000 0.5000 0.5000 x1


[7]
FeCu2TcSe | PBE | optimized geometry

Cell: 4.4130 4.4130 4.4024 Å, 90.00 90.00 90.00°
Space group P4/mmm (No. 123)
Inequivalent atoms, fractional coordinates:
Fe 0.0000 0.0000 0.0000 x1
Cu 0.0000 0.5000 0.5000 x2
Tc 0.5000 0.5000 0.0000 x1
Se 0.0000 0.0000 0.5000 x1


[8]
Tl2FeCu3Se4 | PBE | optimized geometry

Cell: 3.9231 3.9231 14.4966 Å, 90.00 90.00 90.00°
Space group P-4m2 (No. 115)
Inequivalent atoms, fractional coordinates:
Tl 0.0000 0.5000 0.2324 x2
Fe 0.0000 0.0000 0.5000 x1
Cu 0.0000 0.0000 0.0000 x1
Cu 0.5000 0.5000 0.0000 x1
Cu 0.5000 0.5000 0.5000 x1
Se 0.0000 0.5000 0.6032 x2
Se 0.0000 0.5000 0.8935 x2


| no. | formation energy without anion corrections (eV/f.u.) |
| --- | --- |
| 1 | 0.59 |
| 2 | 0.14 |
| 3 | -1.99 |
| 4 | -0.34 |
| 5 | 0.04 |
| 6 | 4.36 |
| 7 | 5.27 |
| 8 | -2.50 |